Density functional theory data (meta-GGA SCAN) for CaMnP at its PBEsol-relaxed geometry.

Geometry as CIF:
```
data_CaMnP
_chemical_formula_sum 'Ca2 Mn2 P2'
_cell_length_a 3.7017
_cell_length_b 3.7017
_cell_length_c 8.1132
_cell_angle_alpha 90.00
_cell_angle_beta 90.00
_cell_angle_gamma 90.00
_space_group_name_H-M_alt 'P 4/n m m'
_space_group_IT_number 129
loop_
_space_group_symop_operation_xyz
'x,y,z'
'-x,-y,-z'
'-y+1/2,x,z'
'y+1/2,-x,-z'
'-x+1/2,-y+1/2,z'
'x+1/2,y+1/2,-z'
'y,-x+1/2,z'
'-y,x+1/2,-z'
'x+1/2,-y,-z'
'-x+1/2,y,z'
'-y,-x,-z'
'y,x,z'
'-x,y+1/2,-z'
'x,-y+1/2,z'
'y+1/2,x+1/2,-z'
'-y+1/2,-x+1/2,z'
loop_
_atom_site_label
_atom_site_type_symbol
_atom_site_fract_x
_atom_site_fract_y
_atom_site_fract_z
Ca1 Ca 0.2500 0.2500 0.1853
Mn1 Mn 0.2500 0.7500 0.5000
P1 P 0.2500 0.2500 0.6638
```

Formation energy ... -860 meV/atom
Electronic total energy ... -81.79 eV/cell
Crystal system ... tetragonal